Record 1
The following is a DFT calculation (PBE-GGA) of MnBeIrC2 after structural relaxation.

The structure in CIF format:
```
data_MnBeIrC2
_symmetry_space_group_name_H-M 'P 1'
_symmetry_Int_Tables_number 1
_cell_length_a 3.605
_cell_length_b 3.605
_cell_length_c 4.088
_cell_angle_alpha 90.00
_cell_angle_beta 90.00
_cell_angle_gamma 90.00
loop_
_symmetry_equiv_pos_as_xyz
'x,y,z'
loop_
_atom_site_label
_atom_site_fract_x
_atom_site_fract_y
_atom_site_fract_z
_atom_site_occupancy
Mn1 0.000 0.000 0.000 1
Be1 0.000 0.000 0.500 1
Ir1 0.500 0.500 0.000 1
C1 0.000 0.500 0.500 1
C2 0.500 0.000 0.500 1
```

Output
magnetic moment: 3.662 μB per formula unit
final energy: -6.16 eV/atom
SG: P4/mmm, No. 123
calculated formation energy: 1.8797 eV per atom

***

Record 2
The following is a DFT calculation (PBE-GGA) of BeNb2IrC after structural relaxation.

The structure in CIF format:
```
data_BeNb2IrC
_symmetry_space_group_name_H-M 'P 1'
_symmetry_Int_Tables_number 1
_cell_length_a 4.841
_cell_length_b 4.841
_cell_length_c 4.019
_cell_angle_alpha 90.00
_cell_angle_beta 90.00
_cell_angle_gamma 90.00
loop_
_symmetry_equiv_pos_as_xyz
'x,y,z'
loop_
_atom_site_label
_atom_site_fract_x
_atom_site_fract_y
_atom_site_fract_z
_atom_site_occupancy
Be1 0.000 0.000 0.000 1
Nb1 0.000 0.500 0.500 1
Nb2 0.500 0.000 0.500 1
Ir1 0.000 0.000 0.500 1
C1 0.500 0.500 0.000 1
```

Output
magnetic moment: 0.000 μB per formula unit
final energy: -6.63 eV/atom
SG: P4/mmm, No. 123
calculated formation energy: 1.7605 eV per atom

***

Record 3
The following is a DFT calculation (PBE-GGA) of NpBeIrC after structural relaxation.

The structure in CIF format:
```
data_NpBeIrC
_symmetry_space_group_name_H-M 'P 1'
_symmetry_Int_Tables_number 1
_cell_length_a 3.701
_cell_length_b 3.701
_cell_length_c 8.043
_cell_angle_alpha 90.00
_cell_angle_beta 90.00
_cell_angle_gamma 90.00
loop_
_symmetry_equiv_pos_as_xyz
'x,y,z'
loop_
_atom_site_label
_atom_site_fract_x
_atom_site_fract_y
_atom_site_fract_z
_atom_site_occupancy
Np1 0.250 0.250 0.163 1
Np2 0.750 0.750 0.837 1
Be1 0.250 0.250 0.672 1
Be2 0.750 0.750 0.328 1
Ir1 0.250 0.750 0.500 1
Ir2 0.750 0.250 0.500 1
C1 0.250 0.250 0.886 1
C2 0.750 0.750 0.114 1
```

Output
magnetic moment: 2.880 μB per formula unit
final energy: -8.82 eV/atom
SG: P4/nmm, No. 129
calculated formation energy: -0.1351 eV per atom

***

Record 4
The following is a DFT calculation (PBE-GGA) of BeIr2OsC after structural relaxation.

The structure in CIF format:
```
data_BeIr2OsC
_symmetry_space_group_name_H-M 'P 1'
_symmetry_Int_Tables_number 1
_cell_length_a 3.993
_cell_length_b 3.993
_cell_length_c 3.883
_cell_angle_alpha 90.00
_cell_angle_beta 90.00
_cell_angle_gamma 90.00
loop_
_symmetry_equiv_pos_as_xyz
'x,y,z'
loop_
_atom_site_label
_atom_site_fract_x
_atom_site_fract_y
_atom_site_fract_z
_atom_site_occupancy
Be1 0.000 0.000 0.000 1
Ir1 0.000 0.500 0.500 1
Ir2 0.500 0.000 0.500 1
Os1 0.500 0.500 0.000 1
C1 0.000 0.000 0.500 1
```

Output
magnetic moment: 0.000 μB per formula unit
final energy: -7.69 eV/atom
SG: P4/mmm, No. 123
calculated formation energy: 0.6926 eV per atom

***

Record 5
The following is a DFT calculation (PBE-GGA) of PaBeIrC after structural relaxation.

The structure in CIF format:
```
data_PaBeIrC
_symmetry_space_group_name_H-M 'P 1'
_symmetry_Int_Tables_number 1
_cell_length_a 3.776
_cell_length_b 3.776
_cell_length_c 7.929
_cell_angle_alpha 90.00
_cell_angle_beta 90.00
_cell_angle_gamma 90.00
loop_
_symmetry_equiv_pos_as_xyz
'x,y,z'
loop_
_atom_site_label
_atom_site_fract_x
_atom_site_fract_y
_atom_site_fract_z
_atom_site_occupancy
Pa1 0.250 0.250 0.169 1
Pa2 0.750 0.750 0.831 1
Be1 0.250 0.250 0.663 1
Be2 0.750 0.750 0.337 1
Ir1 0.250 0.750 0.500 1
Ir2 0.750 0.250 0.500 1
C1 0.250 0.250 0.881 1
C2 0.750 0.750 0.119 1
```

Output
magnetic moment: 0.000 μB per formula unit
final energy: -8.30 eV/atom
SG: P4/nmm, No. 129
calculated formation energy: -0.4760 eV per atom

***

Record 6
The following is a DFT calculation (PBE-GGA) of PaBe2Ir2C after structural relaxation.

The structure in CIF format:
```
data_PaBe2Ir2C
_symmetry_space_group_name_H-M 'P 1'
_symmetry_Int_Tables_number 1
_cell_length_a 6.472
_cell_length_b 6.472
_cell_length_c 6.472
_cell_angle_alpha 146.45
_cell_angle_beta 146.45
_cell_angle_gamma 48.18
loop_
_symmetry_equiv_pos_as_xyz
'x,y,z'
loop_
_atom_site_label
_atom_site_fract_x
_atom_site_fract_y
_atom_site_fract_z
_atom_site_occupancy
Pa1 0.000 0.000 0.000 1
Be1 0.360 0.360 0.000 1
Be2 0.640 0.640 0.000 1
Ir1 0.250 0.750 0.500 1
Ir2 0.750 0.250 0.500 1
C1 0.500 0.500 0.000 1
```

Output
magnetic moment: 0.001 μB per formula unit
final energy: -7.61 eV/atom
SG: I4/mmm, No. 139
calculated formation energy: -0.2989 eV per atom

***

Record 7
The following is a DFT calculation (PBE-GGA) of BeIrPtC2 after structural relaxation.

The structure in CIF format:
```
data_BeIrPtC2
_symmetry_space_group_name_H-M 'P 1'
_symmetry_Int_Tables_number 1
_cell_length_a 3.872
_cell_length_b 3.872
_cell_length_c 4.551
_cell_angle_alpha 90.00
_cell_angle_beta 90.00
_cell_angle_gamma 90.00
loop_
_symmetry_equiv_pos_as_xyz
'x,y,z'
loop_
_atom_site_label
_atom_site_fract_x
_atom_site_fract_y
_atom_site_fract_z
_atom_site_occupancy
Be1 0.000 0.000 0.000 1
Ir1 0.000 0.000 0.500 1
Pt1 0.500 0.500 0.000 1
C1 0.000 0.500 0.500 1
C2 0.500 0.000 0.500 1
```

Output
magnetic moment: 0.000 μB per formula unit
final energy: -5.99 eV/atom
SG: P4/mmm, No. 123
calculated formation energy: 1.4217 eV per atom

***

Record 8
The following is a DFT calculation (PBE-GGA) of BeIrRuC2 after structural relaxation.

The structure in CIF format:
```
data_BeIrRuC2
_symmetry_space_group_name_H-M 'P 1'
_symmetry_Int_Tables_number 1
_cell_length_a 3.788
_cell_length_b 3.788
_cell_length_c 5.404
_cell_angle_alpha 90.00
_cell_angle_beta 90.00
_cell_angle_gamma 90.00
loop_
_symmetry_equiv_pos_as_xyz
'x,y,z'
loop_
_atom_site_label
_atom_site_fract_x
_atom_site_fract_y
_atom_site_fract_z
_atom_site_occupancy
Be1 0.000 0.000 0.000 1
Ir1 0.500 0.500 0.500 1
Ru1 0.500 0.500 0.000 1
C1 0.000 0.500 0.500 1
C2 0.500 0.000 0.500 1
```

Output
magnetic moment: 1.738 μB per formula unit
final energy: -6.26 eV/atom
SG: P4/mmm, No. 123
calculated formation energy: 1.8069 eV per atom

***

Record 9
The following is a DFT calculation (PBE-GGA) of BeIrRu2C after structural relaxation.

The structure in CIF format:
```
data_BeIrRu2C
_symmetry_space_group_name_H-M 'P 1'
_symmetry_Int_Tables_number 1
_cell_length_a 3.986
_cell_length_b 3.986
_cell_length_c 3.769
_cell_angle_alpha 90.00
_cell_angle_beta 90.00
_cell_angle_gamma 90.00
loop_
_symmetry_equiv_pos_as_xyz
'x,y,z'
loop_
_atom_site_label
_atom_site_fract_x
_atom_site_fract_y
_atom_site_fract_z
_atom_site_occupancy
Be1 0.000 0.000 0.000 1
Ir1 0.500 0.500 0.000 1
Ru1 0.000 0.500 0.500 1
Ru2 0.500 0.000 0.500 1
C1 0.000 0.000 0.500 1
```

Output
magnetic moment: 0.000 μB per formula unit
final energy: -7.74 eV/atom
SG: P4/mmm, No. 123
calculated formation energy: 0.3371 eV per atom

***

Record 10
The following is a DFT calculation (PBE-GGA) of Ta2BeIrC after structural relaxation.

The structure in CIF format:
```
data_Ta2BeIrC
_symmetry_space_group_name_H-M 'P 1'
_symmetry_Int_Tables_number 1
_cell_length_a 4.367
_cell_length_b 4.367
_cell_length_c 3.466
_cell_angle_alpha 90.00
_cell_angle_beta 90.00
_cell_angle_gamma 90.00
loop_
_symmetry_equiv_pos_as_xyz
'x,y,z'
loop_
_atom_site_label
_atom_site_fract_x
_atom_site_fract_y
_atom_site_fract_z
_atom_site_occupancy
Ta1 0.000 0.500 0.000 1
Ta2 0.500 0.000 0.000 1
Be1 0.000 0.000 0.500 1
Ir1 0.500 0.500 0.500 1
C1 0.000 0.000 0.000 1
```

Output
magnetic moment: 0.000 μB per formula unit
final energy: -9.41 eV/atom
SG: P4/mmm, No. 123
calculated formation energy: -0.3084 eV per atom